Run A
VASP calculation (GGA-PBE) on crystalline CrNi3Rh3 at its relaxed geometry.

Cell: 7.195 7.195 7.195 Å, 90.00 90.00 90.00°
Atoms (fractional coordinates):
Cr: 0.100 0.600 0.900
Cr: 0.900 0.100 0.600
Cr: 0.400 0.400 0.400
Cr: 0.600 0.900 0.100
Ni: 0.783 0.283 0.217
Ni: 0.914 0.914 0.914
Ni: 0.897 0.603 0.397
Ni: 0.217 0.783 0.283
Ni: 0.103 0.103 0.103
Ni: 0.397 0.897 0.603
Ni: 0.086 0.414 0.586
Ni: 0.283 0.217 0.783
Ni: 0.603 0.397 0.897
Ni: 0.717 0.717 0.717
Ni: 0.586 0.086 0.414
Ni: 0.414 0.586 0.086
Rh: 0.794 0.615 0.067
Rh: 0.885 0.933 0.294
Rh: 0.067 0.794 0.615
Rh: 0.115 0.433 0.206
Rh: 0.206 0.115 0.433
Rh: 0.294 0.885 0.933
Rh: 0.933 0.294 0.885
Rh: 0.385 0.567 0.706
Rh: 0.433 0.206 0.115
Rh: 0.615 0.067 0.794
Rh: 0.706 0.385 0.567
Rh: 0.567 0.706 0.385

As for the crystal system: cubic. For the density of states at the Fermi level, the calculation gives 44.139 states/eV per cell. The magnetization is 3.69 Bohr magnetons per cell.

Run B
VASP calculation (GGA-PBE) on crystalline CrNi3Rh3 at its relaxed geometry.

Cell: 2.639 10.398 10.398 Å, 120.00 90.00 90.00°
Atoms (fractional coordinates):
Cr: 0.250 0.667 0.333
Cr: 0.750 0.333 0.667
Ni: 0.750 0.591 0.735
Ni: 0.750 0.144 0.409
Ni: 0.250 0.735 0.144
Ni: 0.750 0.265 0.856
Ni: 0.250 0.856 0.591
Ni: 0.250 0.409 0.265
Rh: 0.750 0.888 0.385
Rh: 0.750 0.497 0.112
Rh: 0.250 0.385 0.497
Rh: 0.750 0.615 0.503
Rh: 0.250 0.503 0.888
Rh: 0.250 0.112 0.615

As for the crystal system: hexagonal. For the density of states at the Fermi level, the calculation gives 20.725 states/eV per cell. The magnetization is 3.44 Bohr magnetons per cell.

Here are the energies relative to the best structure, in kJ/mol of atoms: run A 0.0; run B 17.3.

Run A
VASP calculation (GGA-PBE) on crystalline Cr2NiRh4 at its relaxed geometry.

Cell: 6.460 6.645 6.644 Å, 138.63 93.57 92.20°
Atoms (fractional coordinates):
Cr: 0.666 0.450 0.857
Cr: 0.664 0.960 0.362
Cr: 0.524 0.499 0.269
Cr: 0.022 0.237 0.654
Ni: 0.154 0.664 0.635
Ni: 0.164 0.226 0.072
Rh: 0.961 0.879 0.071
Rh: 0.306 0.627 0.045
Rh: 0.785 0.403 0.458
Rh: 0.790 0.047 0.804
Rh: 0.355 0.238 0.432
Rh: 0.372 0.018 0.653
Rh: 0.526 0.844 0.907
Rh: 0.960 0.657 0.281

As for the crystal system: triclinic. For the density of states at the Fermi level, the calculation gives 20.276 states/eV per cell. The magnetization is 3.04 Bohr magnetons per cell.

Run B
VASP calculation (GGA-PBE) on crystalline Cr2NiRh4 at its relaxed geometry.

Cell: 4.204 4.204 6.533 Å, 71.23 71.23 60.00°
Atoms (fractional coordinates):
Cr: 0.563 0.563 0.310
Cr: 0.437 0.437 0.690
Rh: 0.866 0.866 0.401
Rh: 0.711 0.711 0.868
Rh: 0.289 0.289 0.132
Rh: 0.134 0.134 0.599
Ni: 0.000 0.000 0.000

As for the crystal system: trigonal. For the density of states at the Fermi level, the calculation gives 8.941 states/eV per cell. The magnetization is 0.00 Bohr magnetons per cell.

Here are the energies relative to the best structure, in kJ/mol of atoms: run A 0.0; run B 9.7.

Run A
VASP calculation (GGA-PBE) on crystalline Cr2Ni2Rh at its relaxed geometry.

Cell: 3.602 4.481 9.153 Å, 61.44 78.65 66.30°
Atoms (fractional coordinates):
Cr: 0.449 0.754 0.847
Cr: 0.949 0.254 0.347
Cr: 0.551 0.246 0.153
Cr: 0.051 0.746 0.653
Ni: 0.355 0.239 0.551
Ni: 0.145 0.261 0.949
Ni: 0.645 0.761 0.449
Ni: 0.855 0.739 0.051
Rh: 0.250 0.750 0.250
Rh: 0.750 0.250 0.750

As for the crystal system: monoclinic. For the density of states at the Fermi level, the calculation gives 14.739 states/eV per cell. The magnetization is 1.50 Bohr magnetons per cell.

Run B
VASP calculation (GGA-PBE) on crystalline Cr2Ni2Rh at its relaxed geometry.

Cell: 6.739 6.739 2.646 Å, 90.00 90.00 90.00°
Atoms (fractional coordinates):
Ni: 0.376 0.876 0.000
Ni: 0.876 0.624 0.000
Ni: 0.624 0.124 0.000
Ni: 0.124 0.376 0.000
Rh: 0.000 0.000 0.000
Rh: 0.500 0.500 0.000
Cr: 0.174 0.674 0.500
Cr: 0.674 0.826 0.500
Cr: 0.826 0.326 0.500
Cr: 0.326 0.174 0.500

As for the crystal system: tetragonal. For the density of states at the Fermi level, the calculation gives 8.814 states/eV per cell. The magnetization is 2.96 Bohr magnetons per cell.

Run C
VASP calculation (GGA-PBE) on crystalline Cr2Ni2Rh at its relaxed geometry.

Cell: 6.808 6.808 2.631 Å, 90.00 90.00 90.00°
Atoms (fractional coordinates):
Ni: 0.181 0.681 0.500
Ni: 0.681 0.819 0.500
Ni: 0.819 0.319 0.500
Ni: 0.319 0.181 0.500
Rh: 0.000 0.000 0.000
Rh: 0.500 0.500 0.000
Cr: 0.388 0.888 0.000
Cr: 0.888 0.612 0.000
Cr: 0.612 0.112 0.000
Cr: 0.112 0.388 0.000

As for the crystal system: tetragonal. For the density of states at the Fermi level, the calculation gives 13.331 states/eV per cell. The magnetization is 0.00 Bohr magnetons per cell.

Run D
VASP calculation (GGA-PBE) on crystalline Cr2Ni2Rh at its relaxed geometry.

Cell: 3.654 5.070 8.953 Å, 131.67 101.77 90.00°
Atoms (fractional coordinates):
Cr: 0.701 0.221 0.403
Cr: 0.701 0.721 0.403
Cr: 0.299 0.779 0.597
Cr: 0.299 0.279 0.597
Ni: 0.105 0.247 0.209
Ni: 0.895 0.253 0.791
Ni: 0.895 0.753 0.791
Ni: 0.105 0.747 0.209
Rh: 0.500 0.750 0.000
Rh: 0.500 0.250 0.000

As for the crystal system: monoclinic. For the density of states at the Fermi level, the calculation gives 15.135 states/eV per cell. The magnetization is 0.00 Bohr magnetons per cell.

Here are the energies relative to the best structure, in kJ/mol of atoms: run A 0.0; run B 8.1; run C 18.2; run D 3.2.

Run A
VASP calculation (GGA-PBE) on crystalline CrNi5Rh2 at its relaxed geometry.

Cell: 3.595 5.150 10.301 Å, 90.00 90.00 90.00°
Atoms (fractional coordinates):
Cr: 0.000 0.000 0.500
Cr: 0.000 0.500 0.000
Ni: 0.000 0.000 0.000
Ni: 0.000 0.500 0.500
Ni: 0.000 0.491 0.753
Ni: 0.000 0.509 0.247
Ni: 0.000 0.009 0.253
Ni: 0.000 0.991 0.747
Ni: 0.500 0.243 0.873
Ni: 0.500 0.757 0.127
Ni: 0.500 0.257 0.373
Ni: 0.500 0.743 0.627
Rh: 0.500 0.242 0.622
Rh: 0.500 0.758 0.378
Rh: 0.500 0.258 0.122
Rh: 0.500 0.742 0.878

As for the crystal system: orthorhombic. For the density of states at the Fermi level, the calculation gives 25.380 states/eV per cell. The magnetization is 2.61 Bohr magnetons per cell.

Run B
VASP calculation (GGA-PBE) on crystalline CrNi5Rh2 at its relaxed geometry.

Cell: 3.665 3.665 7.589 Å, 103.97 103.97 90.00°
Atoms (fractional coordinates):
Cr: 0.000 0.000 0.000
Ni: 0.500 0.500 0.000
Ni: 0.881 0.381 0.762
Ni: 0.381 0.881 0.762
Ni: 0.119 0.619 0.238
Ni: 0.619 0.119 0.238
Rh: 0.747 0.747 0.494
Rh: 0.253 0.253 0.506

As for the crystal system: tetragonal. For the density of states at the Fermi level, the calculation gives 13.420 states/eV per cell. The magnetization is 0.34 Bohr magnetons per cell.

Here are the energies relative to the best structure, in kJ/mol of atoms: run A 0.0; run B 4.4.

Run A
VASP calculation (GGA-PBE) on crystalline CrNi3Rh2 at its relaxed geometry.

Cell: 2.641 4.902 13.311 Å, 62.76 90.00 105.63°
Atoms (fractional coordinates):
Cr: 0.625 0.250 0.736
Cr: 0.375 0.750 0.264
Ni: 0.886 0.772 0.764
Ni: 0.114 0.228 0.236
Ni: 0.374 0.748 0.927
Ni: 0.626 0.252 0.073
Ni: 0.128 0.255 0.570
Ni: 0.872 0.745 0.430
Rh: 0.126 0.252 0.896
Rh: 0.874 0.748 0.104
Rh: 0.370 0.739 0.604
Rh: 0.630 0.261 0.396

As for the crystal system: monoclinic. For the density of states at the Fermi level, the calculation gives 20.641 states/eV per cell. The magnetization is 0.48 Bohr magnetons per cell.

Run B
VASP calculation (GGA-PBE) on crystalline CrNi3Rh2 at its relaxed geometry.

Cell: 4.829 4.829 7.502 Å, 100.62 100.62 115.29°
Atoms (fractional coordinates):
Cr: 0.667 0.667 0.334
Cr: 0.333 0.333 0.666
Ni: 0.334 0.833 0.167
Ni: 0.167 0.666 0.833
Ni: 0.666 0.167 0.833
Ni: 0.833 0.334 0.167
Ni: 0.167 0.167 0.334
Ni: 0.833 0.833 0.666
Rh: 0.250 0.750 0.500
Rh: 0.749 0.749 0.000
Rh: 0.750 0.250 0.500
Rh: 0.251 0.251 0.000

As for the crystal system: orthorhombic. For the density of states at the Fermi level, the calculation gives 18.856 states/eV per cell. The magnetization is 0.14 Bohr magnetons per cell.

Here are the energies relative to the best structure, in kJ/mol of atoms: run A 0.0; run B 5.7.

Run A
VASP calculation (GGA-PBE) on crystalline Cr3NiRh at its relaxed geometry.

Cell: 4.634 4.634 4.634 Å, 90.00 90.00 90.00°
Atoms (fractional coordinates):
Ni: 0.500 0.500 0.500
Rh: 0.000 0.000 0.000
Cr: 0.000 0.500 0.000
Cr: 0.000 0.000 0.500
Cr: 0.500 0.000 0.000

As for the crystal system: cubic. For the density of states at the Fermi level, the calculation gives 6.832 states/eV per cell. The magnetization is 10.51 Bohr magnetons per cell.

Run B
VASP calculation (GGA-PBE) on crystalline Cr3NiRh at its relaxed geometry.

Cell: 4.365 4.365 4.365 Å, 90.00 90.00 90.00°
Atoms (fractional coordinates):
Ni: 0.000 0.000 0.000
Rh: 0.500 0.500 0.500
Cr: 0.000 0.500 0.000
Cr: 0.000 0.000 0.500
Cr: 0.500 0.000 0.000

As for the crystal system: cubic. For the density of states at the Fermi level, the calculation gives 9.953 states/eV per cell. The magnetization is 9.73 Bohr magnetons per cell.

Here are the energies relative to the best structure, in kJ/mol of atoms: run A 26.0; run B 0.0.